1.
A geometry-optimized Y4AuSe5 structure, computed with PBE.

Results
- Density of states at the Fermi level: 4.29 states/eV/cell
- E: -6.201 eV per atom
- Crystal system: monoclinic
- Energy relative to the elements, uncorrected: -1545 meV/atom

abc: 9.1932 9.1932 8.7746
angles: 106.72 106.72 25.47
With the nearest neighbours (Å) after each atom.
Element x y z (fractional)
Y 0.0038 0.0038 0.2746  4 Se 2.75-2.85
Y 0.3195 0.3195 0.8885  5 Se 2.80-2.90, 1 Au 3.09
Y 0.6805 0.6805 0.1115  5 Se 2.80-2.90, 1 Au 3.09
Y 0.9962 0.9962 0.7254  4 Se 2.75-2.85
Au 0.5000 0.5000 0.0000  6 Y 3.09-3.13
Se 0.1603 0.1603 0.8656  4 Y 2.80-2.90
Se 0.1617 0.1617 0.3168  3 Y 2.75-2.80
Se 0.5000 0.5000 0.5000  4 Y 2.85
Se 0.8383 0.8383 0.6832  3 Y 2.75-2.80
Se 0.8397 0.8397 0.1344  4 Y 2.80-2.90

2.
A geometry-optimized SbPRuS2 structure, computed with PBE.

Results
- Density of states at the Fermi level: 5.12 states/eV/cell
- E: -4.989 eV per atom
- Crystal system: tetragonal
- Energy relative to the lowest polymorph listed for this composition: 0.0000 eV per atom
- Energy relative to the elements, uncorrected: 423 meV/atom

abc: 4.7962 4.7962 4.4022
angles: 90.00 90.00 90.00
With the nearest neighbours (Å) after each atom.
Element x y z (fractional)
Sb 0.0000 0.0000 0.0000  8 S 3.26, 4 P 3.39
P 0.5000 0.5000 0.0000  2 Ru 2.20
Ru 0.5000 0.5000 0.5000  2 P 2.20, 4 S 2.40
S 0.0000 0.5000 0.5000  2 Ru 2.40
S 0.5000 0.0000 0.5000  2 Ru 2.40

3.
A geometry-optimized LiYS3 structure, computed with PBE.

Results
- Density of states at the Fermi level: 4.53 states/eV/cell
- E: -4.868 eV per atom
- Crystal system: cubic
- Energy relative to the lowest polymorph listed for this composition: 0.0000 eV per atom
- Energy relative to the elements, uncorrected: -716 meV/atom

abc: 5.2631 5.2631 5.2631
angles: 90.00 90.00 90.00
With the nearest neighbours (Å) after each atom.
Element x y z (fractional)
Li 0.0000 0.0000 0.0000  12 S 3.72
Y 0.5000 0.5000 0.5000  6 S 2.63
S 0.0000 0.5000 0.5000  2 Y 2.63
S 0.5000 0.0000 0.5000  2 Y 2.63
S 0.5000 0.5000 0.0000  2 Y 2.63

4.
A geometry-optimized Li2AlSiC structure, computed with PBE.

Results
- Density of states at the Fermi level: 3.04 states/eV/cell
- E: -3.061 eV per atom
- Crystal system: tetragonal
- Energy relative to the elements, uncorrected: 1382 meV/atom

abc: 4.8234 4.8234 4.5955
angles: 90.00 90.00 90.00
With the nearest neighbours (Å) after each atom.
Element x y z (fractional)
Li 0.0000 0.5000 0.0000  2 Si 2.41
Li 0.5000 0.0000 0.0000  2 Si 2.41
Al 0.0000 0.0000 0.5000  2 Si 2.30
Si 0.0000 0.0000 0.0000  2 Al 2.30, 4 Li 2.41
C 0.5000 0.5000 0.5000  8 Li 3.33, 4 Al 3.41

5.
A geometry-optimized ErU2Fe9 structure, computed with PBE.

Results
- Energy of formation from the pure elements: -0.054 eV per atom
- Density of states at the Fermi level: 16.42 states/eV/cell
- E: -8.663 eV per atom
- Crystal system: trigonal

abc: 8.7761 8.7761 8.7761
angles: 31.78 31.78 31.78
With the nearest neighbours (Å) after each atom.
Element x y z (fractional)
Er 0.0000 0.0000 0.0000  6 Fe 2.77
U 0.1448 0.1448 0.1448  12 Fe 2.83-3.03, 3 U 2.98
U 0.8552 0.8552 0.8552  12 Fe 2.83-3.03, 3 U 2.98
Fe 0.0827 0.5801 0.5801  7 Fe 2.39-2.55
Fe 0.3325 0.3325 0.3325  6 Fe 2.44-2.46
Fe 0.4199 0.4199 0.9173  7 Fe 2.39-2.55
Fe 0.4199 0.9173 0.4199  7 Fe 2.39-2.55
Fe 0.5000 0.5000 0.5000  6 Fe 2.55, 6 U 2.83
Fe 0.5801 0.0827 0.5801  7 Fe 2.39-2.55
Fe 0.5801 0.5801 0.0827  7 Fe 2.39-2.55
Fe 0.6675 0.6675 0.6675  6 Fe 2.44-2.46
Fe 0.9173 0.4199 0.4199  7 Fe 2.39-2.55

6.
A geometry-optimized Cs3AuI2Br6 structure, computed with PBE.

Results
- E: -2.488 eV per atom
- Crystal system: trigonal
- Energy relative to the elements, uncorrected: -907 meV/atom

abc: 7.8716 7.8716 9.2387
angles: 90.00 90.00 120.00
With the nearest neighbours (Å) after each atom.
Element x y z (fractional)
Cs 0.0000 0.0000 0.0000  6 Br 3.73
Cs 0.3333 0.6667 0.6521  9 Br 3.83-3.94, 1 I 4.01
Cs 0.6667 0.3333 0.3479  9 Br 3.83-3.94, 1 I 4.01
Au 0.0000 0.0000 0.5000  6 Br 2.62
I 0.3333 0.6667 0.0864  3 Br 3.33
I 0.6667 0.3333 0.9136  3 Br 3.33
Br 0.1548 0.3096 0.3327  1 Au 2.62
Br 0.1548 0.8452 0.3327  1 Au 2.62
Br 0.3096 0.1548 0.6673  1 Au 2.62
Br 0.6904 0.8452 0.3327  1 Au 2.62
Br 0.8452 0.1548 0.6673  1 Au 2.62
Br 0.8452 0.6904 0.6673  1 Au 2.62

7.
A geometry-optimized BaSb2Pb2 structure, computed with PBE.

Results
- Density of states at the Fermi level: 2.33 states/eV/cell
- E: -3.900 eV per atom
- Crystal system: tetragonal
- Energy relative to the elements, uncorrected: -383 meV/atom

abc: 8.4645 8.4645 8.4645
angles: 147.06 147.06 47.28
With the nearest neighbours (Å) after each atom.
Element x y z (fractional)
Ba 0.0000 0.0000 0.0000  8 Sb 3.70
Sb 0.4047 0.4047 0.0000  1 Sb 2.95
Sb 0.5953 0.5953 0.0000  1 Sb 2.95
Pb 0.2500 0.7500 0.5000  4 Pb 3.39, 4 Sb 3.39
Pb 0.7500 0.2500 0.5000  4 Pb 3.39, 4 Sb 3.39

8.
A geometry-optimized LaSc2Cl2 structure, computed with PBE.

Results
- Density of states at the Fermi level: 6.10 states/eV/cell
- E: -4.969 eV per atom
- Crystal system: tetragonal
- Energy relative to the lowest polymorph listed for this composition: 0.0000 eV per atom
- Energy relative to the elements, uncorrected: -713 meV/atom

abc: 7.4502 7.4502 7.4502
angles: 148.47 148.47 45.20
With the nearest neighbours (Å) after each atom.
Element x y z (fractional)
La 0.0000 0.0000 0.0000  8 Cl 3.24
Sc 0.2500 0.7500 0.5000  4 Cl 2.79, 4 Sc 2.86
Sc 0.7500 0.2500 0.5000  4 Cl 2.79, 4 Sc 2.86
Cl 0.3899 0.3899 0.0000  4 Sc 2.79, 1 Cl 3.03
Cl 0.6101 0.6101 0.0000  4 Sc 2.79, 1 Cl 3.03

9.
A geometry-optimized Er2AlSn2 structure, computed with PBE.

Results
- Energy of formation from the pure elements: -0.121 eV per atom
- Density of states at the Fermi level: 4.68 states/eV/cell
- E: -4.296 eV per atom
- Crystal system: orthorhombic

abc: 11.1263 9.7859 6.3841
angles: 84.15 61.04 34.81
With the nearest neighbours (Å) after each atom.
Element x y z (fractional)
Er 0.0228 0.7272 0.0228  2 Sn 3.04, 2 Al 3.06
Er 0.2728 0.9772 0.2728  2 Sn 3.04, 2 Al 3.06
Er 0.7272 0.0228 0.7272  2 Sn 3.04, 2 Al 3.06
Er 0.9772 0.2728 0.9772  2 Sn 3.04, 2 Al 3.06
Al 0.3750 0.3750 0.3750  4 Sn 2.85, 4 Er 3.06
Al 0.6250 0.6250 0.6250  4 Sn 2.85, 4 Er 3.06
Sn 0.0000 0.5000 0.5000  2 Al 2.85, 2 Er 3.04, 2 Sn 3.19
Sn 0.5000 0.0000 0.5000  2 Al 2.85, 2 Er 3.04, 2 Sn 3.19
Sn 0.5000 0.5000 0.0000  2 Al 2.85, 2 Er 3.04, 2 Sn 3.19
Sn 0.5000 0.5000 0.5000  2 Al 2.85, 2 Er 3.04, 2 Sn 3.19

10.
A geometry-optimized NdDyGeAu structure, computed with PBE.

Results
- Energy of formation from the pure elements: -0.726 eV per atom
- Density of states at the Fermi level: 3.69 states/eV/cell
- E: -5.042 eV per atom
- Crystal system: cubic
- Energy relative to the lowest polymorph listed for this composition: 0.0890 eV per atom

abc: 5.1643 5.1643 5.1643
angles: 60.00 60.00 60.00
With the nearest neighbours (Å) after each atom.
Element x y z (fractional)
Nd 0.0000 0.0000 0.0000  4 Ge 3.16, 4 Au 3.16
Dy 0.5000 0.5000 0.5000  4 Ge 3.16, 4 Au 3.16
Ge 0.2500 0.2500 0.2500  4 Dy 3.16, 4 Nd 3.16
Au 0.7500 0.7500 0.7500  4 Dy 3.16, 4 Nd 3.16

11.
A geometry-optimized TbNdSi2Pd5 structure, computed with PBE.

Results
- Density of states at the Fermi level: 2.94 states/eV/cell
- E: -6.030 eV per atom
- Crystal system: tetragonal
- Energy relative to the elements, uncorrected: -895 meV/atom

abc: 4.2229 4.2229 9.0354
angles: 90.00 90.00 90.00
With the nearest neighbours (Å) after each atom.
Element x y z (fractional)
Tb 0.0000 0.0000 0.0000  8 Pd 3.18, 8 Si 3.21
Nd 0.0000 0.0000 0.5000  12 Pd 2.99-3.00
Si 0.5000 0.5000 0.1305  1 Si 2.36, 4 Pd 2.43
Si 0.5000 0.5000 0.8695  1 Si 2.36, 4 Pd 2.43
Pd 0.0000 0.5000 0.2635  2 Si 2.43
Pd 0.0000 0.5000 0.7365  2 Si 2.43
Pd 0.5000 0.0000 0.2635  2 Si 2.43
Pd 0.5000 0.0000 0.7365  2 Si 2.43
Pd 0.5000 0.5000 0.5000  4 Nd 2.99, 8 Pd 3.00, 2 Si 3.34

12.
A geometry-optimized Sc2InF7 structure, computed with PBE.

Results
- Density of states at the Fermi level: 0.00 states/eV/cell
- E: -6.343 eV per atom
- Crystal system: orthorhombic
- Energy relative to the elements, uncorrected: -3493 meV/atom

abc: 6.3890 6.3890 4.1010
angles: 90.00 90.00 117.58
With the nearest neighbours (Å) after each atom.
Element x y z (fractional)
Sc 0.1904 0.8096 0.0000  7 F 2.05-2.17
Sc 0.8096 0.1904 0.0000  7 F 2.05-2.17
In 0.5000 0.5000 0.5000  8 F 2.90
F 0.0000 0.0000 0.0000  2 Sc 2.08
F 0.1630 0.4587 0.0000  2 Sc 2.11-2.17
F 0.1958 0.8042 0.5000  2 Sc 2.05
F 0.4587 0.1630 0.0000  2 Sc 2.11-2.17
F 0.5413 0.8370 0.0000  2 Sc 2.11-2.17
F 0.8042 0.1958 0.5000  2 Sc 2.05
F 0.8370 0.5413 0.0000  2 Sc 2.11-2.17

Please write out number 6 again, unchanged.
A geometry-optimized Cs3AuI2Br6 structure, computed with PBE.

Results
- E: -2.488 eV per atom
- Crystal system: trigonal
- Energy relative to the elements, uncorrected: -907 meV/atom

abc: 7.8716 7.8716 9.2387
angles: 90.00 90.00 120.00
With the nearest neighbours (Å) after each atom.
Element x y z (fractional)
Cs 0.0000 0.0000 0.0000  6 Br 3.73
Cs 0.3333 0.6667 0.6521  9 Br 3.83-3.94, 1 I 4.01
Cs 0.6667 0.3333 0.3479  9 Br 3.83-3.94, 1 I 4.01
Au 0.0000 0.0000 0.5000  6 Br 2.62
I 0.3333 0.6667 0.0864  3 Br 3.33
I 0.6667 0.3333 0.9136  3 Br 3.33
Br 0.1548 0.3096 0.3327  1 Au 2.62
Br 0.1548 0.8452 0.3327  1 Au 2.62
Br 0.3096 0.1548 0.6673  1 Au 2.62
Br 0.6904 0.8452 0.3327  1 Au 2.62
Br 0.8452 0.1548 0.6673  1 Au 2.62
Br 0.8452 0.6904 0.6673  1 Au 2.62

- Number 10 is which compound?
  NdDyGeAu